# SmZnAu, optimized geometry, DFT PBE
# N(E_F) = 6.69 states/eV/cell
# DFT total energy = -44.75 eV per cell
# magnetization = 0.000 μB per atom
# crystal system = monoclinic
# formation energy = -0.6393 eV/atom
data_SmZnAu
_chemical_formula_sum 'Sm4 Zn4 Au4'
_cell_length_a 10.535
_cell_length_b 4.615
_cell_length_c 7.036
_cell_angle_alpha 90.00
_cell_angle_beta 130.59
_cell_angle_gamma 90.00
_symmetry_space_group_name_H-M 'C 1 2/m 1'
_symmetry_Int_Tables_number 12
loop_
_symmetry_equiv_pos_as_xyz
'x,y,z'
'-x,-y,-z'
'-x,y,-z'
'x,-y,z'
'x+1/2,y+1/2,z'
'-x+1/2,-y+1/2,-z'
'-x+1/2,y+1/2,-z'
'x+1/2,-y+1/2,z'
loop_
_atom_site_label
_atom_site_type_symbol
_atom_site_fract_x
_atom_site_fract_y
_atom_site_fract_z
_atom_site_occupancy
Sm1 Sm 0.031 0.000 0.286 1
Zn1 Zn 0.160 0.500 0.116 1
Au1 Au 0.177 0.500 0.709 1



# Si2OsCl, optimized geometry, DFT PBE
# N(E_F) = 1.78 states/eV/cell
# formation energy (no corrections) = 0.1459 eV per atom
# DFT total energy = -23.34 eV per cell
# energy relative to the lowest polymorph listed for this composition = 234 meV/atom
# magnetization = 0.000 μB per atom
# crystal system = tetragonal
data_Si2OsCl
_chemical_formula_sum 'Si2 Os1 Cl1'
_cell_length_a 2.989
_cell_length_b 2.989
_cell_length_c 7.069
_cell_angle_alpha 90.00
_cell_angle_beta 90.00
_cell_angle_gamma 90.00
_symmetry_space_group_name_H-M 'P 4/m m m'
_symmetry_Int_Tables_number 123
_symmetry_space_group_name_Hall '-P 4 2'
loop_
_atom_site_label
_atom_site_type_symbol
_atom_site_fract_x
_atom_site_fract_y
_atom_site_fract_z
_atom_site_occupancy
Si1 Si 0.000 0.000 0.206 1
Os1 Os 0.500 0.500 0.000 1
Cl1 Cl 0.500 0.500 0.500 1



# Te2IrBr, optimized geometry, DFT PBE
# N(E_F) = 2.92 states/eV/cell
# formation energy (no corrections) = -0.2612 eV per atom
# DFT total energy = -35.72 eV per cell
# energy relative to the lowest polymorph listed for this composition = 3 meV/atom
# magnetization = 0.000 μB per atom
# crystal system = monoclinic
data_Te2IrBr
_chemical_formula_sum 'Te4 Ir2 Br2'
_cell_length_a 5.333
_cell_length_b 4.063
_cell_length_c 10.538
_cell_angle_alpha 90.00
_cell_angle_beta 91.70
_cell_angle_gamma 90.00
_symmetry_space_group_name_H-M 'P 1 21/m 1'
_symmetry_Int_Tables_number 11
loop_
_symmetry_equiv_pos_as_xyz
'x,y,z'
'-x,-y,-z'
'-x,y+1/2,-z'
'x,-y+1/2,z'
loop_
_atom_site_label
_atom_site_type_symbol
_atom_site_fract_x
_atom_site_fract_y
_atom_site_fract_z
_atom_site_occupancy
Te1 Te 0.233 0.250 0.225 1
Te2 Te 0.254 0.250 0.553 1
Ir1 Ir 0.241 0.750 0.386 1
Br1 Br 0.250 0.750 0.866 1



# Sr2SBr2, optimized geometry, DFT PBE
# N(E_F) = 0.00 states/eV/cell
# formation energy (no corrections) = -2.1122 eV per atom
# DFT total energy = -42.80 eV per cell
# magnetization = 0.000 μB per atom
# crystal system = monoclinic
data_Sr2SBr2
_chemical_formula_sum 'Sr4 S2 Br4'
_cell_length_a 7.676
_cell_length_b 4.430
_cell_length_c 10.528
_cell_angle_alpha 90.00
_cell_angle_beta 90.51
_cell_angle_gamma 90.00
_symmetry_space_group_name_H-M 'C 1 2/m 1'
_symmetry_Int_Tables_number 12
loop_
_symmetry_equiv_pos_as_xyz
'x,y,z'
'-x,-y,-z'
'-x,y,-z'
'x,-y,z'
'x+1/2,y+1/2,z'
'-x+1/2,-y+1/2,-z'
'-x+1/2,y+1/2,-z'
'x+1/2,-y+1/2,z'
loop_
_atom_site_label
_atom_site_type_symbol
_atom_site_fract_x
_atom_site_fract_y
_atom_site_fract_z
_atom_site_occupancy
Sr1 Sr 0.169 0.000 0.163 1
S1 S 0.000 0.500 0.000 1
Br1 Br 0.163 0.000 0.680 1



# NbSnGe2O8, optimized geometry, DFT PBE
# N(E_F) = 2.29 states/eV/cell
# formation energy (no corrections) = -1.7327 eV per atom
# DFT total energy = -167.53 eV per cell
# magnetization = 0.082 μB per atom
# crystal system = monoclinic
data_NbSnGe2O8
_chemical_formula_sum 'Nb2 Sn2 Ge4 O16'
_cell_length_a 8.301
_cell_length_b 5.658
_cell_length_c 6.787
_cell_angle_alpha 90.00
_cell_angle_beta 90.08
_cell_angle_gamma 90.00
_symmetry_space_group_name_H-M 'C 1 2/m 1'
_symmetry_Int_Tables_number 12
loop_
_symmetry_equiv_pos_as_xyz
'x,y,z'
'-x,-y,-z'
'-x,y,-z'
'x,-y,z'
'x+1/2,y+1/2,z'
'-x+1/2,-y+1/2,-z'
'-x+1/2,y+1/2,-z'
'x+1/2,-y+1/2,z'
loop_
_atom_site_label
_atom_site_type_symbol
_atom_site_fract_x
_atom_site_fract_y
_atom_site_fract_z
_atom_site_occupancy
Nb1 Nb 0.000 0.000 0.000 1
Sn1 Sn 0.000 0.000 0.500 1
Ge1 Ge 0.148 0.500 0.255 1
O1 O 0.025 0.237 0.248 1
O2 O 0.233 0.000 0.959 1
O3 O 0.243 0.000 0.526 1



# MgFe2RuN, optimized geometry, DFT PBE
# N(E_F) = 4.01 states/eV/cell
# formation energy (no corrections) = -0.0696 eV per atom
# DFT total energy = -36.47 eV per cell
# magnetization = 0.763 μB per atom
# crystal system = tetragonal
data_MgFe2RuN
_chemical_formula_sum 'Mg1 Fe2 Ru1 N1'
_cell_length_a 3.845
_cell_length_b 3.845
_cell_length_c 4.059
_cell_angle_alpha 90.00
_cell_angle_beta 90.00
_cell_angle_gamma 90.00
_symmetry_space_group_name_H-M 'P 4/m m m'
_symmetry_Int_Tables_number 123
_symmetry_space_group_name_Hall '-P 4 2'
loop_
_atom_site_label
_atom_site_type_symbol
_atom_site_fract_x
_atom_site_fract_y
_atom_site_fract_z
_atom_site_occupancy
Mg1 Mg 0.000 0.000 0.000 1
Fe1 Fe 0.000 0.500 0.500 1
Ru1 Ru 0.500 0.500 0.000 1
N1 N 0.500 0.500 0.500 1



# Nd3N2O, optimized geometry, DFT PBE
# N(E_F) = 2.90 states/eV/cell
# formation energy (no corrections) = -1.9100 eV per atom
# DFT total energy = -94.75 eV per cell
# magnetization = 0.000 μB per atom
# crystal system = orthorhombic
data_Nd3N2O
_chemical_formula_sum 'Nd6 N4 O2'
_cell_length_a 3.621
_cell_length_b 5.132
_cell_length_c 10.868
_cell_angle_alpha 90.00
_cell_angle_beta 90.00
_cell_angle_gamma 90.00
_symmetry_space_group_name_H-M 'I m m m'
_symmetry_Int_Tables_number 71
_symmetry_space_group_name_Hall '-I 2 2'
loop_
_atom_site_label
_atom_site_type_symbol
_atom_site_fract_x
_atom_site_fract_y
_atom_site_fract_z
_atom_site_occupancy
Nd1 Nd 0.000 0.000 0.000 1
Nd2 Nd 0.000 0.000 0.329 1
N1 N 0.000 0.500 0.332 1
O1 O 0.000 0.500 0.000 1



# SiTeWI2, optimized geometry, DFT PBE
# N(E_F) = 3.07 states/eV/cell
# formation energy (no corrections) = 1.0439 eV per atom
# DFT total energy = -19.40 eV per cell
# energy relative to the lowest polymorph listed for this composition = 0 meV/atom
# magnetization = 0.634 μB per atom
# crystal system = tetragonal
data_SiTeWI2
_chemical_formula_sum 'Si1 Te1 W1 I2'
_cell_length_a 5.558
_cell_length_b 5.558
_cell_length_c 5.288
_cell_angle_alpha 90.00
_cell_angle_beta 90.00
_cell_angle_gamma 90.00
_symmetry_space_group_name_H-M 'P 4/m m m'
_symmetry_Int_Tables_number 123
_symmetry_space_group_name_Hall '-P 4 2'
loop_
_atom_site_label
_atom_site_type_symbol
_atom_site_fract_x
_atom_site_fract_y
_atom_site_fract_z
_atom_site_occupancy
Si1 Si 0.000 0.000 0.000 1
Te1 Te 0.500 0.500 0.000 1
W1 W 0.500 0.500 0.500 1
I1 I 0.000 0.500 0.500 1



# NpIn3Hg2Cl6, optimized geometry, DFT PBE
# N(E_F) = 12.86 states/eV/cell
# formation energy (no corrections) = -0.9628 eV per atom
# DFT total energy = -88.79 eV per cell
# magnetization = 0.312 μB per atom
# crystal system = monoclinic
data_NpIn3Hg2Cl6
_chemical_formula_sum 'Np2 In6 Hg4 Cl12'
_cell_length_a 15.832
_cell_length_b 8.057
_cell_length_c 6.772
_cell_angle_alpha 90.00
_cell_angle_beta 92.97
_cell_angle_gamma 90.00
_symmetry_space_group_name_H-M 'C 1 2/m 1'
_symmetry_Int_Tables_number 12
loop_
_symmetry_equiv_pos_as_xyz
'x,y,z'
'-x,-y,-z'
'-x,y,-z'
'x,-y,z'
'x+1/2,y+1/2,z'
'-x+1/2,-y+1/2,-z'
'-x+1/2,y+1/2,-z'
'x+1/2,-y+1/2,z'
loop_
_atom_site_label
_atom_site_type_symbol
_atom_site_fract_x
_atom_site_fract_y
_atom_site_fract_z
_atom_site_occupancy
Np1 Np 0.000 0.000 0.000 1
In1 In 0.000 0.500 0.500 1
In2 In 0.250 0.250 0.000 1
Hg1 Hg 0.154 0.500 0.264 1
Cl1 Cl 0.075 0.236 0.785 1
Cl2 Cl 0.143 0.000 0.236 1



# TaSnSeN2, optimized geometry, DFT PBE
# N(E_F) = 1.61 states/eV/cell
# formation energy (no corrections) = 0.0153 eV per atom
# DFT total energy = -35.91 eV per cell
# energy relative to the lowest polymorph listed for this composition = 0 meV/atom
# magnetization = 0.056 μB per atom
# crystal system = tetragonal
data_TaSnSeN2
_chemical_formula_sum 'Ta1 Sn1 Se1 N2'
_cell_length_a 4.088
_cell_length_b 4.088
_cell_length_c 5.357
_cell_angle_alpha 90.00
_cell_angle_beta 90.00
_cell_angle_gamma 90.00
_symmetry_space_group_name_H-M 'P 4/m m m'
_symmetry_Int_Tables_number 123
_symmetry_space_group_name_Hall '-P 4 2'
loop_
_atom_site_label
_atom_site_type_symbol
_atom_site_fract_x
_atom_site_fract_y
_atom_site_fract_z
_atom_site_occupancy
Ta1 Ta 0.000 0.000 0.000 1
Sn1 Sn 0.500 0.500 0.500 1
Se1 Se 0.000 0.000 0.500 1
N1 N 0.000 0.500 0.000 1



# Nd2Pu3Ir2, optimized geometry, DFT PBE
# N(E_F) = 42.68 states/eV/cell
# DFT total energy = -145.53 eV per cell
# magnetization = 2.452 μB per atom
# crystal system = monoclinic
# formation energy = -0.3590 eV/atom
data_Nd2Pu3Ir2
_chemical_formula_sum 'Nd4 Pu6 Ir4'
_cell_length_a 11.599
_cell_length_b 4.063
_cell_length_c 8.474
_cell_angle_alpha 90.00
_cell_angle_beta 115.55
_cell_angle_gamma 90.00
_symmetry_space_group_name_H-M 'C 1 2/m 1'
_symmetry_Int_Tables_number 12
loop_
_symmetry_equiv_pos_as_xyz
'x,y,z'
'-x,-y,-z'
'-x,y,-z'
'x,-y,z'
'x+1/2,y+1/2,z'
'-x+1/2,-y+1/2,-z'
'-x+1/2,y+1/2,-z'
'x+1/2,-y+1/2,z'
loop_
_atom_site_label
_atom_site_type_symbol
_atom_site_fract_x
_atom_site_fract_y
_atom_site_fract_z
_atom_site_occupancy
Nd1 Nd 0.155 0.000 0.306 1
Pu1 Pu 0.000 0.500 0.500 1
Pu2 Pu 0.119 0.500 0.941 1
Ir1 Ir 0.157 0.000 0.730 1